1.
Below is a geometry-optimized Cs3K3PbBr8 structure, with properties calculated at the PBE level.

a = 9.7036 Å, b = 9.7066 Å, c = 10.0518 Å
α = 118.86°, β = 90.00°, γ = 119.99°
Atoms (fractional coordinates):
1 Cs 0.0000 0.0000 0.0000
2 Cs 0.0000 0.5000 0.0000
3 Cs 0.5000 0.5000 0.0000
4 K 0.5000 0.0000 0.5000
5 K 0.5000 0.5000 0.5000
6 K 0.0000 0.5000 0.5000
7 Pb 0.0000 0.0000 0.5000
8 Br 0.2588 0.5175 0.2764
9 Br 0.7412 0.4825 0.7236
10 Br 0.7786 0.5572 0.2939
11 Br 0.2214 0.4428 0.7061
12 Br 0.7786 0.0153 0.2940
13 Br 0.2214 0.9847 0.7060
14 Br 0.2367 0.0153 0.2940
15 Br 0.7633 0.9847 0.7060

Results
* size of the total moment: 0.0 μB per formula unit
* calculated density: 3.32 Mg/m³
* calculated total energy: -3.1382 eV per atom
* uncorrected formation energy: -1.6085 eV/atom
* space-group type: No. 166
* DOS at the Fermi energy: 0.0000 states/eV per atom


2.
Below is a geometry-optimized AcRe6 structure, with properties calculated at the PBE level.

a = 6.0055 Å, b = 6.0055 Å, c = 6.0055 Å
α = 109.47°, β = 109.47°, γ = 109.47°
Atoms (fractional coordinates):
1 Ac 0.0000 0.0000 0.0000
2 Re 0.2500 0.7500 0.5000
3 Re 0.5000 0.7500 0.2500
4 Re 0.2500 0.5000 0.7500
5 Re 0.7500 0.2500 0.5000
6 Re 0.5000 0.2500 0.7500
7 Re 0.7500 0.5000 0.2500

Results
* size of the total moment: 0.0 μB per formula unit
* calculated density: 13.39 Mg/m³
* calculated total energy: -10.4188 eV per atom
* space-group type: No. 229
* formation energy from the elements: 837.9 meV/atom
* DOS at the Fermi energy: 0.8305 states/eV per atom


3.
Below is a geometry-optimized MgScHg structure, with properties calculated at the PBE level.

a = 4.8009 Å, b = 4.8009 Å, c = 3.3020 Å
α = 90.00°, β = 90.00°, γ = 120.00°
Atoms (fractional coordinates):
1 Sc 0.3333 0.6667 0.6667
2 Mg 0.6667 0.3333 0.1672
3 Hg 0.0000 0.0000 0.1661

Results
* size of the total moment: 0.0 μB per formula unit
* calculated density: 6.80 Mg/m³
* calculated total energy: -2.9914 eV per atom
* space-group type: No. 187
* formation energy from the elements: -248.8 meV/atom
* DOS at the Fermi energy: 0.8317 states/eV per atom


4.
Below is a geometry-optimized ErIn2Co structure, with properties calculated at the PBE level.

a = 6.9498 Å, b = 7.8028 Å, c = 6.7564 Å
α = 90.00°, β = 90.00°, γ = 90.00°
Atoms (fractional coordinates):
1 Er 0.0000 0.7909 0.5000
2 Er 0.5000 0.7091 0.5000
3 Er 0.5000 0.2909 0.5000
4 Er 0.0000 0.2091 0.5000
5 In 0.3269 0.0000 0.7789
6 In 0.7500 0.2500 0.8961
7 In 0.8269 0.5000 0.2211
8 In 0.6731 0.0000 0.2211
9 In 0.2500 0.2500 0.1039
10 In 0.2500 0.7500 0.1039
11 In 0.7500 0.7500 0.8961
12 In 0.1731 0.5000 0.7789
13 Co 0.6901 0.0000 0.6136
14 Co 0.8099 0.5000 0.6136
15 Co 0.1901 0.5000 0.3864
16 Co 0.3099 0.0000 0.3864

Results
* size of the total moment: 0.0 μB per formula unit
* calculated density: 8.26 Mg/m³
* calculated total energy: -4.3916 eV per atom
* space-group type: No. 53
* formation energy from the elements: -105.2 meV/atom
* DOS at the Fermi energy: 0.5435 states/eV per atom


5.
Below is a geometry-optimized Zr3ScCd structure, with properties calculated at the PBE level.

a = 3.2415 Å, b = 8.0723 Å, c = 10.8571 Å
α = 110.38°, β = 81.43°, γ = 66.33°
Atoms (fractional coordinates):
1 Zr 0.3283 0.0862 0.1702
2 Zr 0.6717 0.9138 0.8298
3 Zr 0.6679 0.5155 0.6337
4 Zr 0.3321 0.4845 0.3663
5 Zr 0.3126 0.3004 0.7731
6 Zr 0.6874 0.6996 0.2269
7 Sc 0.3217 0.8907 0.5742
8 Sc 0.6783 0.1093 0.4258
9 Cd 0.6733 0.3112 0.0315
10 Cd 0.3267 0.6888 0.9685

Results
* size of the total moment: 0.0 μB per formula unit
* calculated density: 6.23 Mg/m³
* calculated total energy: -6.6250 eV per atom
* space-group type: No. 2
* formation energy from the elements: -46.8 meV/atom
* DOS at the Fermi energy: 0.9698 states/eV per atom
* relative energy among the computed polymorphs: 0.0 meV per atom


6.
Below is a geometry-optimized GaReRu3 structure, with properties calculated at the PBE level.

a = 4.3920 Å, b = 4.3920 Å, c = 4.3920 Å
α = 90.00°, β = 90.00°, γ = 90.00°
Atoms (fractional coordinates):
1 Re 0.5000 0.5000 0.5000
2 Ga 0.0000 0.0000 0.0000
3 Ru 0.0000 0.5000 0.0000
4 Ru 0.0000 0.0000 0.5000
5 Ru 0.5000 0.0000 0.0000

Results
* size of the total moment: 0.0 μB per formula unit
* calculated density: 10.96 Mg/m³
* calculated total energy: -7.0513 eV per atom
* space-group type: No. 221
* formation energy from the elements: 1609.2 meV/atom
* DOS at the Fermi energy: 1.9756 states/eV per atom
* relative energy among the computed polymorphs: 78.7 meV per atom


7.
Below is a geometry-optimized Pm2Dy2Ho structure, with properties calculated at the PBE level.

a = 4.5730 Å, b = 4.5730 Å, c = 8.8406 Å
α = 104.99°, β = 104.99°, γ = 90.00°
Atoms (fractional coordinates):
1 Pm 0.7500 0.2500 0.5000
2 Pm 0.2500 0.7500 0.5000
3 Dy 0.4073 0.4073 0.8145
4 Dy 0.5927 0.5927 0.1855
5 Ho 0.0000 0.0000 0.0000

Results
* size of the total moment: 0.0 μB per formula unit
* calculated density: 7.53 Mg/m³
* calculated total energy: -4.2822 eV per atom
* space-group type: No. 139
* formation energy from the elements: 374.4 meV/atom
* DOS at the Fermi energy: 1.7884 states/eV per atom
* relative energy among the computed polymorphs: 356.1 meV per atom


8.
Below is a geometry-optimized Tl2TcCS structure, with properties calculated at the PBE level.

a = 5.7420 Å, b = 3.3929 Å, c = 5.7420 Å
α = 90.00°, β = 90.00°, γ = 90.00°
Site moments in Bohr magnetons follow the coordinates.
Atoms (fractional coordinates):
1 S 0.0000 0.0000 0.0000  0.00
2 C 0.0000 0.5000 0.0000  0.00
3 Tl 0.0000 0.0000 0.5000  -0.02
4 Tl 0.5000 0.0000 0.0000  -0.04
5 Tc 0.5000 0.5000 0.5000  2.66

Results
* size of the total moment: 2.8 μB per formula unit
* calculated density: 8.18 Mg/m³
* calculated total energy: -4.2007 eV per atom
* uncorrected formation energy: 1.4893 eV/atom
* space-group type: No. 123
* DOS at the Fermi energy: 0.5531 states/eV per atom


9.
Below is a geometry-optimized CaSiH structure, with properties calculated at the PBE level.

a = 3.8353 Å, b = 3.8353 Å, c = 7.9921 Å
α = 90.00°, β = 90.00°, γ = 120.00°
Atoms (fractional coordinates):
1 Ca 0.6667 0.3333 0.4155
2 Ca 0.0000 0.0000 0.0547
3 Si 0.0000 0.0000 0.6619
4 Si 0.3333 0.6667 0.7781
5 H 0.6667 0.3333 0.1240
6 H 0.3333 0.6667 0.2831

Results
* size of the total moment: 0.0 μB per formula unit
* calculated density: 2.26 Mg/m³
* calculated total energy: -4.0195 eV per atom
* space-group type: No. 156
* DOS at the Fermi energy: 0.0697 states/eV per atom
* relative energy among the computed polymorphs: 30.4 meV per atom


10.
Below is a geometry-optimized TiBe2Ru2 structure, with properties calculated at the PBE level.

a = 6.2624 Å, b = 6.2624 Å, c = 2.9821 Å
α = 90.00°, β = 90.00°, γ = 90.00°
Atoms (fractional coordinates):
1 Ru 0.1751 0.6751 0.5000
2 Ru 0.6751 0.8249 0.5000
3 Ru 0.8249 0.3249 0.5000
4 Ru 0.3249 0.1751 0.5000
5 Be 0.3820 0.8820 0.0000
6 Be 0.8820 0.6180 0.0000
7 Be 0.6180 0.1180 0.0000
8 Be 0.1180 0.3820 0.0000
9 Ti 0.0000 0.0000 0.0000
10 Ti 0.5000 0.5000 0.0000

Results
* size of the total moment: 0.0 μB per formula unit
* calculated density: 7.61 Mg/m³
* calculated total energy: -7.3140 eV per atom
* space-group type: No. 127
* formation energy from the elements: -534.1 meV/atom
* DOS at the Fermi energy: 0.1742 states/eV per atom
* relative energy among the computed polymorphs: 0.0 meV per atom


11.
Below is a geometry-optimized CaCrSi3 structure, with properties calculated at the PBE level.

a = 5.0730 Å, b = 5.0730 Å, c = 5.0730 Å
α = 90.00°, β = 90.00°, γ = 90.00°
Site moments in Bohr magnetons follow the coordinates.
Atoms (fractional coordinates):
1 Cr 0.5000 0.5000 0.5000  0.47
2 Ca 0.0000 0.0000 0.0000  -0.15
3 Si 0.0000 0.5000 0.0000  -0.09
4 Si 0.0000 0.0000 0.5000  -0.04
5 Si 0.5000 0.0000 0.0000  -0.07

Results
* size of the total moment: 0.2 μB per formula unit
* calculated density: 2.24 Mg/m³
* calculated total energy: -3.4399 eV per atom
* uncorrected formation energy: 2.1389 eV/atom
* space-group type: No. 221
* DOS at the Fermi energy: 0.5551 states/eV per atom


12.
Below is a geometry-optimized MgCu2Tc2 structure, with properties calculated at the PBE level.

a = 3.7273 Å, b = 3.7273 Å, c = 6.2867 Å
α = 72.76°, β = 72.76°, γ = 90.00°
Atoms (fractional coordinates):
1 Mg 0.0000 0.0000 0.0000
2 Tc 0.4016 0.4016 0.1968
3 Tc 0.5984 0.5984 0.8032
4 Cu 0.7500 0.2500 0.5000
5 Cu 0.2500 0.7500 0.5000

Results
* size of the total moment: 0.0 μB per formula unit
* calculated density: 7.28 Mg/m³
* calculated total energy: -5.5961 eV per atom
* space-group type: No. 139
* formation energy from the elements: 507.7 meV/atom
* DOS at the Fermi energy: 0.3352 states/eV per atom
* relative energy among the computed polymorphs: 110.9 meV per atom